No. 1
Crystalline Li7ZnSn4 at its relaxed geometry, computed with PBE.

a b c (Å): 4.914 8.259 7.182
angles (deg): 81.04 70.00 72.69
Fractional coordinates of all 12 atoms:
Li 0.057 0.680 0.206
Li 0.216 0.147 0.421
Li 0.784 0.853 0.579
Li 0.500 0.000 0.000
Li 0.641 0.414 0.303
Li 0.943 0.320 0.794
Li 0.359 0.586 0.697
Sn 0.571 0.206 0.653
Sn 0.700 0.642 0.958
Sn 0.300 0.358 0.042
Sn 0.429 0.794 0.347
Zn 0.000 0.000 0.000

Properties
formation energy from the elements: -210 meV per atom
D(E_F): 3.4 states/eV per cell
space-group type: C2/m
total magnetization: 0.0 μB per formula unit
electronic total energy: -33.20 eV/f.u.
calculated density: 3.7 g/cm³


No. 2
Crystalline Na4TlAg4 at its relaxed geometry, computed with PBE.

a b c (Å): 4.578 7.050 7.050
angles (deg): 83.95 71.05 71.05
Fractional coordinates of all 9 atoms:
Na 0.329 0.000 0.342
Na 0.329 0.342 0.000
Na 0.671 0.658 0.000
Na 0.671 0.000 0.658
Tl 0.000 0.000 0.000
Ag 0.351 0.649 0.649
Ag 0.000 0.351 0.649
Ag 0.649 0.351 0.351
Ag 0.000 0.649 0.351

Properties
formation energy from the elements: -13 meV per atom
D(E_F): 3.2 states/eV per cell
space-group type: I4/mmm
total magnetization: 0.0 μB per formula unit
electronic total energy: -19.16 eV/f.u.
calculated density: 5.9 g/cm³


No. 3
Crystalline Ac6Pt3Br2 at its relaxed geometry, computed with PBE.

a b c (Å): 7.757 7.755 8.240
angles (deg): 81.14 72.06 59.99
Fractional coordinates of all 11 atoms:
Pt 0.000 0.000 0.000
Pt 0.332 0.337 0.000
Pt 0.668 0.663 0.000
Ac 0.401 0.673 0.795
Ac 0.074 0.327 0.795
Ac 0.599 0.327 0.205
Ac 0.273 0.000 0.205
Ac 0.727 0.000 0.795
Ac 0.926 0.673 0.205
Br 0.168 0.663 0.500
Br 0.832 0.337 0.500

Properties
D(E_F): 7.1 states/eV per cell
space-group type: C2/m
total magnetization: 0.0 μB per formula unit
raw formation energy: -1.18 eV per atom
electronic total energy: -59.12 eV/f.u.
calculated density: 8.6 g/cm³


No. 4
Crystalline Ca2HgSb at its relaxed geometry, computed with PBE.

a b c (Å): 5.696 5.696 10.233
angles (deg): 73.84 73.84 90.00
Fractional coordinates of all 8 atoms:
Ca 0.875 0.867 0.750
Ca 0.133 0.625 0.250
Ca 0.375 0.383 0.750
Ca 0.617 0.125 0.250
Sb 0.250 0.750 0.500
Sb 0.500 0.500 0.000
Hg 0.000 0.000 0.000
Hg 0.750 0.250 0.500

Properties
D(E_F): 0.9 states/eV per cell
space-group type: I-42d
total magnetization: 0.0 μB per formula unit
energy relative to the lowest polymorph listed for this composition: 1.745 eV per formula unit
raw formation energy: -0.35 eV per atom
electronic total energy: -9.82 eV/f.u.
calculated density: 4.4 g/cm³


No. 5
Crystalline LaCdCuGe2 at its relaxed geometry, computed with PBE.

a b c (Å): 5.649 6.075 5.649
angles (deg): 90.00 90.00 90.00
Fractional coordinates of all 5 atoms:
Cu 0.500 0.500 0.500
Ge 0.000 0.000 0.500
Ge 0.500 0.000 0.000
Cd 0.000 0.500 0.000
La 0.000 0.000 0.000

Properties
formation energy from the elements: 1171 meV per atom
D(E_F): 5.5 states/eV per cell
space-group type: P4/mmm
total magnetization: 0.0 μB per formula unit
energy relative to the lowest polymorph listed for this composition: 7.902 eV per formula unit
electronic total energy: -13.32 eV/f.u.
calculated density: 3.9 g/cm³


No. 6
Crystalline BeSnF4 at its relaxed geometry, computed with PBE.

a b c (Å): 5.411 7.083 9.753
angles (deg): 90.00 90.00 89.90
Fractional coordinates of all 24 atoms:
Sn 0.251 0.250 0.949
Sn 0.249 0.250 0.449
Sn 0.749 0.750 0.051
Sn 0.751 0.750 0.551
F 0.728 0.075 0.094
F 0.272 0.925 0.906
F 0.510 0.264 0.780
F 0.010 0.764 0.720
F 0.016 0.766 0.216
F 0.768 0.426 0.093
F 0.772 0.425 0.594
F 0.732 0.074 0.593
F 0.516 0.266 0.284
F 0.484 0.734 0.716
F 0.268 0.926 0.407
F 0.990 0.236 0.280
F 0.490 0.736 0.220
F 0.228 0.575 0.406
F 0.984 0.234 0.784
F 0.232 0.574 0.907
Be 0.250 0.751 0.310
Be 0.750 0.251 0.190
Be 0.750 0.249 0.690
Be 0.250 0.749 0.810

Properties
D(E_F): 0.0 states/eV per cell
space-group type: P2_1/c
total magnetization: 0.0 μB per formula unit
energy relative to the lowest polymorph listed for this composition: 0.064 eV per formula unit
raw formation energy: -2.77 eV per atom
electronic total energy: -31.84 eV/f.u.
calculated density: 3.6 g/cm³


No. 7
Crystalline Ho2Ag3Sn3 at its relaxed geometry, computed with PBE.

a b c (Å): 4.658 4.536 8.642
angles (deg): 90.00 90.00 90.00
Fractional coordinates of all 8 atoms:
Ag 0.500 0.000 0.000
Ag 0.500 0.500 0.237
Ag 0.500 0.500 0.763
Ho 0.000 0.000 0.251
Ho 0.000 0.000 0.749
Sn 0.000 0.500 0.000
Sn 0.000 0.500 0.500
Sn 0.500 0.000 0.500

Properties
formation energy from the elements: -383 meV per atom
D(E_F): 2.9 states/eV per cell
space-group type: Pmmm
total magnetization: 0.0 μB per formula unit
electronic total energy: -32.78 eV/f.u.
calculated density: 9.2 g/cm³


No. 8
Crystalline La3Pm2PrSe6 at its relaxed geometry, computed with PBE.

a b c (Å): 7.400 7.400 7.380
angles (deg): 99.62 99.62 120.16
Fractional coordinates of all 12 atoms:
Pm 0.667 0.333 0.000
Pm 0.333 0.667 0.000
Pr 0.000 0.000 0.000
La 0.835 0.165 0.500
La 0.165 0.835 0.500
La 0.500 0.500 0.500
Se 0.082 0.418 0.245
Se 0.256 0.256 0.757
Se 0.918 0.582 0.755
Se 0.744 0.744 0.243
Se 0.418 0.082 0.245
Se 0.582 0.918 0.755

Properties
D(E_F): 6.2 states/eV per cell
space-group type: C2/m
total magnetization: 0.0 μB per formula unit
raw formation energy: -1.93 eV per atom
electronic total energy: -73.09 eV/f.u.
calculated density: 6.7 g/cm³